Entry from Alexandria via LeMat-Bulk: PtRh2W at its PBEsol-relaxed geometry (SCAN).

a = 4.719 Å, b = 4.719 Å, c = 4.749 Å
α = 99.52°, β = 99.52°, γ = 33.37°
Fractional positions:
Pt1 0.000 0.000 0.000
Rh1 0.246 0.246 0.743
Rh2 0.754 0.754 0.257
W1 0.500 0.500 0.500

Magnetization   0.000 μB/f.u.
Formation enthalpy at 0 K   -72 kJ/mol of formula units
Electronic total energy   -208.168 eV per cell
E above lowest polymorph   0.086 eV per atom

Entry from Alexandria via LeMat-Bulk: ZrAg at its PBEsol-relaxed geometry (SCAN).

a = 3.439 Å, b = 3.439 Å, c = 6.518 Å
α = 90.00°, β = 90.00°, γ = 90.00°
Fractional positions:
Zr1 0.250 0.250 0.144
Zr2 0.750 0.750 0.856
Ag1 0.250 0.250 0.613
Ag2 0.750 0.750 0.387

Magnetization   0.000 μB/f.u.
Formation enthalpy at 0 K   -32 kJ/mol of formula units
Electronic total energy   -124.793 eV per cell

Entry from Alexandria via LeMat-Bulk: TmAlNi at its PBEsol-relaxed geometry (SCAN).

a = 6.765 Å, b = 6.765 Å, c = 3.839 Å
α = 90.00°, β = 90.00°, γ = 120.00°
Fractional positions:
Tm1 0.000 0.416 0.000
Tm2 0.416 0.000 0.000
Tm3 0.584 0.584 0.000
Al1 0.000 0.762 0.500
Al2 0.238 0.238 0.500
Al3 0.762 0.000 0.500
Ni1 0.000 0.000 0.000
Ni2 0.333 0.667 0.500
Ni3 0.667 0.333 0.500

Magnetization   0.000 μB/f.u.
Formation enthalpy at 0 K   -197 kJ/mol of formula units
Electronic total energy   -233.390 eV per cell

Entry from Alexandria via LeMat-Bulk: SbMo3N at its PBEsol-relaxed geometry (SCAN).

a = 4.138 Å, b = 4.138 Å, c = 4.138 Å
α = 90.00°, β = 90.00°, γ = 90.00°
Fractional positions:
Sb1 0.000 0.000 0.000
Mo1 0.000 0.500 0.500
Mo2 0.500 0.000 0.500
Mo3 0.500 0.500 0.000
N1 0.500 0.500 0.500

Magnetization   0.000 μB/f.u.
Energy relative to the elements, uncorrected   0.016 eV per atom
Electronic total energy   -151.126 eV per cell

Entry from Alexandria via LeMat-Bulk: LaTlSeBr2 at its PBEsol-relaxed geometry (SCAN).

a = 5.785 Å, b = 5.785 Å, c = 5.690 Å
α = 90.00°, β = 90.00°, γ = 90.00°
Fractional positions:
La1 0.000 0.000 0.000
Tl1 0.500 0.500 0.500
Se1 0.000 0.000 0.500
Br1 0.000 0.500 0.000
Br2 0.500 0.000 0.000

Magnetization   0.000 μB/f.u.
Energy relative to the elements, uncorrected   -1.516 eV per atom
Electronic total energy   -182.042 eV per cell

Entry from Alexandria via LeMat-Bulk: Sr3CoSb2O9 at its PBEsol-relaxed geometry (SCAN).

a = 9.796 Å, b = 9.796 Å, c = 9.796 Å
α = 146.51°, β = 131.70°, γ = 60.05°
Fractional positions:
Sr1 0.067 0.326 0.741
Sr2 0.230 0.000 0.230
Sr3 0.415 0.674 0.741
Sr4 0.585 0.326 0.259
Sr5 0.770 0.000 0.770
Sr6 0.933 0.674 0.259
Co1 0.167 0.167 0.000
Co2 0.833 0.833 0.000
Sb1 0.000 0.500 0.500
Sb2 0.332 0.832 0.500
Sb3 0.500 0.500 0.000
Sb4 0.668 0.168 0.500
O1 0.081 0.334 0.252
O2 0.081 0.829 0.748
O3 0.091 0.836 0.255
O4 0.251 0.000 0.749
O5 0.251 0.502 0.251
O6 0.253 0.500 0.753
O7 0.418 0.169 0.750
O8 0.418 0.668 0.250
O9 0.419 0.164 0.255
O10 0.581 0.836 0.745
O11 0.582 0.332 0.750
O12 0.582 0.831 0.250
O13 0.747 0.500 0.247
O14 0.749 0.000 0.251
O15 0.749 0.498 0.749
O16 0.909 0.164 0.745
O17 0.919 0.171 0.252
O18 0.919 0.666 0.748

Magnetization   3.032 μB/f.u.
Energy relative to the elements, uncorrected   -2.266 eV per atom
Electronic total energy   -497.452 eV per cell

Entry from Alexandria via LeMat-Bulk: La3CoRh at its PBEsol-relaxed geometry (SCAN).

a = 5.072 Å, b = 5.072 Å, c = 5.072 Å
α = 90.00°, β = 90.00°, γ = 90.00°
Fractional positions:
La1 0.000 0.000 0.500
La2 0.000 0.500 0.000
La3 0.500 0.000 0.000
Co1 0.000 0.000 0.000
Rh1 0.500 0.500 0.500

Magnetization   0.000 μB/f.u.
Formation enthalpy at 0 K   11 kJ/mol of formula units
Electronic total energy   -180.275 eV per cell

Entry from Alexandria via LeMat-Bulk: EuTlHg2 at its PBEsol-relaxed geometry (SCAN).

a = 5.198 Å, b = 5.198 Å, c = 5.198 Å
α = 60.00°, β = 60.00°, γ = 60.00°
Fractional positions:
Eu1 0.000 0.000 0.000
Tl1 0.500 0.500 0.500
Hg1 0.250 0.250 0.250
Hg2 0.750 0.750 0.750

Magnetization   7.146 μB/f.u.
Formation enthalpy at 0 K   -187 kJ/mol of formula units
Electronic total energy   -264.338 eV per cell

Question: Which value of magnetization does entry 8 give?
Answer: 7.146 μB/f.u.